1.
Density functional theory data (PBE) for an optimized crystal structure of ScCr2Cd.

Results
Total moment   0.7 μB per formula unit
Calculated volume   67.66 Å³/f.u.
ΔH_f (0 K)   0.12 eV/atom
Raw total energy   -6.51 eV/atom

Geometry as extended XYZ:
```
4
Lattice="-1.740 -2.183 1.288 2.505 -1.720 0.469 0.903 3.060 6.407" Properties=species:S:1:pos:R:3 pbc="T T T"
Cd 1.088 0.439 5.883
Cr 0.045 0.152 0.319
Cr 0.570 -1.316 2.209
Sc 0.417 1.412 2.957
```

2.
Density functional theory data (PBE) for an optimized crystal structure of Sc2CrCd.

Results
Total moment   2.1 μB per formula unit
Calculated volume   86.51 Å³/f.u.
ΔH_f (0 K)   0.37 eV/atom
Raw total energy   -5.43 eV/atom

Geometry as extended XYZ:
```
4
Lattice="7.615 5.187 5.059 9.277 2.740 4.112 8.877 5.171 2.221" Properties=species:S:1:pos:R:3 pbc="T T T"
Sc 23.205 11.795 10.258
Sc 2.565 1.304 1.134
Cr 12.885 6.549 5.696
Cd 0.000 0.000 0.000
```

3.
Density functional theory data (PBE) for an optimized crystal structure of ScCrCd.

Results
Total moment   3.7 μB per formula unit
Calculated volume   59.47 Å³/f.u.
ΔH_f (0 K)   0.18 eV/atom
Energy relative to the lowest polymorph listed for this composition   0 meV per atom
Raw total energy   -5.45 eV/atom

Geometry as extended XYZ:
```
3
Lattice="-0.266 -3.399 4.127 1.767 -5.051 -0.149 1.507 4.992 -1.212" Properties=species:S:1:pos:R:3 pbc="T T T"
Cd 1.493 -8.402 3.955
Cr 0.495 -2.785 1.311
Sc 1.015 -5.714 2.690
```

4.
Density functional theory data (PBE) for an optimized crystal structure of ScCrCd3.

Results
Total moment   0.0 μB per formula unit
Calculated volume   122.83 Å³/f.u.
ΔH_f (0 K)   0.80 eV/atom
Energy relative to the lowest polymorph listed for this composition   0 meV per atom
Raw total energy   -2.94 eV/atom

Geometry as extended XYZ:
```
5
Lattice="-0.764 4.304 2.367 -3.198 -2.255 3.066 3.728 -1.052 3.115" Properties=species:S:1:pos:R:3 pbc="T T T"
Sc -0.117 0.499 4.274
Cr 0.000 0.000 0.000
Cd -1.599 -1.127 1.533
Cd 1.864 -0.526 1.558
Cd -0.382 2.152 1.184
```

5.
Density functional theory data (PBE) for an optimized crystal structure of Sc2CrCd.

Results
Total moment   2.4 μB per formula unit
Calculated volume   80.05 Å³/f.u.
ΔH_f (0 K)   -0.03 eV/atom
Raw total energy   -5.83 eV/atom

Geometry as extended XYZ:
```
4
Lattice="-2.042 -0.873 2.424 -2.134 -1.159 -2.215 3.250 -6.648 0.346" Properties=species:S:1:pos:R:3 pbc="T T T"
Cd -1.276 -2.678 0.191
Cr 0.350 -6.001 0.363
Sc 3.156 -6.454 0.336
Sc 1.720 -3.517 0.183
```

6.
Density functional theory data (PBE) for an optimized crystal structure of ScCrCd3.

Results
Total moment   4.7 μB per formula unit
Calculated volume   166.27 Å³/f.u.
ΔH_f (0 K)   1.05 eV/atom
Energy relative to the lowest polymorph listed for this composition   249 meV per atom
Raw total energy   -2.69 eV/atom

Geometry as extended XYZ:
```
5
Lattice="5.499 0.000 0.000 0.000 5.499 0.000 0.000 0.000 5.499" Properties=species:S:1:pos:R:3 pbc="T T T"
Sc 0.000 0.000 0.000
Cr 2.749 2.749 2.749
Cd 0.000 2.749 0.000
Cd 0.000 0.000 2.749
Cd 2.749 0.000 0.000
```

7.
Density functional theory data (PBE) for an optimized crystal structure of Sc2CrCd.

Results
Total moment   2.0 μB per formula unit
Calculated volume   86.15 Å³/f.u.
ΔH_f (0 K)   0.42 eV/atom
Raw total energy   -5.38 eV/atom

Geometry as extended XYZ:
```
8
Lattice="7.659 0.000 0.000 0.000 7.659 0.000 3.829 3.829 2.938" Properties=species:S:1:pos:R:3 pbc="T T T"
Sc 5.600 1.915 0.734
Sc 2.059 5.744 0.734
Sc 5.744 5.888 2.203
Sc 9.573 9.429 2.203
Cr 3.829 3.829 0.000
Cr 3.829 7.659 1.469
Cd 0.000 0.000 0.000
Cd 7.659 3.829 1.469
```

8.
Density functional theory data (PBE) for an optimized crystal structure of ScCr2Cd.

Results
Total moment   1.9 μB per formula unit
Calculated volume   65.80 Å³/f.u.
ΔH_f (0 K)   0.57 eV/atom
Raw total energy   -6.05 eV/atom

Geometry as extended XYZ:
```
4
Lattice="5.108 -0.087 -0.200 2.206 4.607 0.200 -3.549 -2.434 2.759" Properties=species:S:1:pos:R:3 pbc="T T T"
Cd 1.157 2.216 1.480
Cr 7.314 4.520 0.000
Cr 3.657 2.260 0.000
Sc 2.608 -0.131 1.279
```

Number 3 is which compound? ScCrCd

Look up the calculated volume of the fifth one. 80.05 Å³/f.u.